The following is a DFT calculation (PBE) of a relaxed RbTlCdBr4 crystal.

The structure belongs to space group P2_1/m (No. 11); the cell edges are 7.8406, 7.8443 and 9.4986 Å and the angles 90.00°, 107.95° and 90.00°. The asymmetric unit holds Rb at (0.2455, 0.2500, 0.4418), Tl at (0.2811, 0.2500, 0.9484), Cd at (0.2636, 0.7500, 0.1876), Br at (0.0595, 0.7500, 0.9120), Br at (0.0710, 0.7500, 0.3700) and Br at (0.4939, 0.0065, 0.2484).

For the energy, the calculation gives -2.685 eV per atom. The volume comes out at 556 Å³/cell. The calculation puts the total magnetization at 0.00 Bohr magnetons per cell. For the uncorrected formation energy, the calculation gives -7.86 eV per formula unit.